1.
A plane-wave DFT calculation with GGA-PBE was carried out for an optimized crystal structure of MnBeCl4.

Values from the calculation:
Its space-group type is F-43m (216). As for the crystal system: cubic. The value obtained for the density of states at the Fermi level is 0.5340 states/eV per atom. The total magnetization is 6.54 μB per formula unit. The calculation puts the volume at 141 Å³/f.u. The total energy comes out at -2.422 eV/atom. The calculation puts the uncorrected formation energy at 0.959 eV per atom.

a = 5.843 Å, b = 5.843 Å, c = 5.843 Å
α = 60.00°, β = 60.00°, γ = 60.00°
Last column: magnetic moment on the atom in μB.
Atoms (fractional coordinates):
Be 0.000 0.000 0.000  -0.08
Cl 0.625 0.625 0.625  0.40
Cl 0.625 0.625 0.125  0.40
Cl 0.625 0.125 0.625  0.40
Cl 0.125 0.625 0.625  0.40
Mn 0.250 0.250 0.250  4.49

2.
A plane-wave DFT calculation with GGA-PBE was carried out for an optimized crystal structure of Ho2MoOs3.

Values from the calculation:
Its space-group type is P6_3/mmc (194). As for the crystal system: hexagonal. The value obtained for the density of states at the Fermi level is 1.1455 states/eV per atom. The total magnetization is 0.00 μB per formula unit. The calculation puts the volume at 110 Å³/f.u. The total energy comes out at -9.233 eV/atom. The calculation puts the formation energy at -287 meV per atom.

a = 5.463 Å, b = 5.463 Å, c = 8.527 Å
α = 90.00°, β = 90.00°, γ = 120.00°
Atoms (fractional coordinates):
Mo 0.000 0.000 0.500
Mo 0.000 0.000 0.000
Os 0.827 0.654 0.750
Os 0.346 0.173 0.750
Os 0.827 0.173 0.750
Os 0.654 0.827 0.250
Os 0.173 0.827 0.250
Os 0.173 0.346 0.250
Ho 0.333 0.667 0.935
Ho 0.667 0.333 0.065
Ho 0.667 0.333 0.435
Ho 0.333 0.667 0.565

3.
A plane-wave DFT calculation with GGA-PBE was carried out for an optimized crystal structure of La4FeI2Cl.

Values from the calculation:
Its space-group type is P2/m (10). As for the crystal system: monoclinic. The value obtained for the density of states at the Fermi level is 0.7275 states/eV per atom. The total magnetization is 0.00 μB per formula unit. The calculation puts the volume at 250 Å³/f.u. The total energy comes out at -5.049 eV/atom. The calculation puts the uncorrected formation energy at -0.909 eV per atom.

a = 4.107 Å, b = 8.363 Å, c = 7.607 Å
α = 73.11°, β = 90.00°, γ = 90.00°
Atoms (fractional coordinates):
La 0.500 0.317 0.696
La 0.000 0.300 0.250
La 0.000 0.700 0.750
La 0.500 0.683 0.304
I 0.500 0.000 0.500
I 0.000 0.000 0.000
Fe 0.000 0.500 0.500
Cl 0.500 0.500 0.000

4.
A plane-wave DFT calculation with GGA-PBE was carried out for an optimized crystal structure of TcAsSe2N.

Values from the calculation:
Its space-group type is P4/mmm (123). As for the crystal system: tetragonal. The value obtained for the density of states at the Fermi level is 0.6283 states/eV per atom. The total magnetization is 0.00 μB per formula unit. The calculation puts the volume at 94 Å³/f.u. The total energy comes out at -5.646 eV/atom. The calculation puts the uncorrected formation energy at 0.416 eV per atom.

a = 5.044 Å, b = 5.044 Å, c = 3.702 Å
α = 90.00°, β = 90.00°, γ = 90.00°
Atoms (fractional coordinates):
Se 0.000 0.500 0.000
Se 0.500 0.000 0.000
As 0.500 0.500 0.500
N 0.000 0.000 0.500
Tc 0.000 0.000 0.000

5.
A plane-wave DFT calculation with GGA-PBE was carried out for an optimized crystal structure of K2AsF2.

Values from the calculation:
Its space-group type is P4/mbm (127). As for the crystal system: tetragonal. The value obtained for the density of states at the Fermi level is 0.3341 states/eV per atom. The total magnetization is 0.00 μB per formula unit. The calculation puts the volume at 100 Å³/f.u. The total energy comes out at -3.567 eV/atom. The calculation puts the uncorrected formation energy at -1.450 eV per atom.

a = 8.317 Å, b = 8.317 Å, c = 2.884 Å
α = 90.00°, β = 90.00°, γ = 90.00°
Atoms (fractional coordinates):
K 0.863 0.637 0.000
K 0.637 0.137 0.000
K 0.137 0.363 0.000
K 0.363 0.863 0.000
As 0.000 0.000 0.000
As 0.500 0.500 0.000
F 0.139 0.639 0.500
F 0.639 0.861 0.500
F 0.361 0.139 0.500
F 0.861 0.361 0.500

6.
A plane-wave DFT calculation with GGA-PBE was carried out for an optimized crystal structure of Ge2PdSe6.

Values from the calculation:
Its space-group type is C2/c (15). As for the crystal system: monoclinic. The value obtained for the density of states at the Fermi level is 0.5254 states/eV per atom. The total magnetization is 0.00 μB per formula unit. The calculation puts the volume at 219 Å³/f.u. The total energy comes out at -4.061 eV/atom. The calculation puts the uncorrected formation energy at -0.135 eV per atom.

a = 6.562 Å, b = 8.231 Å, c = 8.231 Å
α = 86.28°, β = 83.03°, γ = 83.03°
Atoms (fractional coordinates):
Se 0.875 0.185 0.025
Se 0.113 0.121 0.622
Se 0.643 0.287 0.486
Se 0.125 0.815 0.975
Se 0.887 0.879 0.378
Se 0.613 0.622 0.121
Se 0.387 0.378 0.879
Se 0.857 0.514 0.713
Se 0.375 0.025 0.185
Se 0.143 0.486 0.287
Se 0.357 0.713 0.514
Se 0.625 0.975 0.815
Ge 0.324 0.232 0.393
Ge 0.824 0.393 0.232
Ge 0.676 0.768 0.607
Ge 0.176 0.607 0.768
Pd 0.250 0.102 0.898
Pd 0.750 0.898 0.102